Crystalline Sm3YErSc at its relaxed geometry, computed with GGA-PBE.

Cell and atoms, written as POSCAR:
```
Sm3YErSc
1.0
5.0283 0.0000 0.0000
0.0000 7.7997 -1.1445
0.0000 -3.2601 10.0757
Sm Y Er Sc
6 2 2 2
Cartesian
3.7713 6.6756 -0.5553
1.2571 -2.1360 9.4864
1.2571 3.4532 3.8887
3.7713 1.0864 5.0424
3.7713 2.2996 1.6761
1.2571 2.2399 7.2550
1.2571 -0.0199 2.8525
3.7713 4.5595 6.0787
1.2571 4.4890 0.5663
3.7713 0.0506 8.3648
1.2571 -1.0869 6.1231
3.7713 5.6265 2.8080
```

Electronic total energy, eV per atom: -5.21
Calculated volume, Å³ per cell: 376

Crystalline SmY6Er2Sc3 at its relaxed geometry, computed with GGA-PBE.

Cell and atoms, written as POSCAR:
```
SmY6Er2Sc3
1.0
-4.3815 -3.6246 2.1026
0.6961 0.7585 -5.9746
8.3674 -7.8436 1.0037
Sm Y Er Sc
1 6 2 3
Cartesian
0.0000 0.0000 0.0000
2.6006 -8.6839 -0.8003
-0.6051 -4.1893 -2.6537
2.0814 -2.0258 -2.0679
4.2950 -7.2213 -3.4957
5.2872 -6.5204 -0.2146
0.3870 -3.4884 0.6274
-0.9968 -0.7028 -3.2817
-2.6886 -2.1632 -0.5904
4.0324 -3.8949 -4.1246
0.6497 -6.8148 1.2563
2.3410 -5.3548 -1.4341
```

Electronic total energy, eV per atom: -5.92
Calculated volume, Å³ per cell: 361

Q: Among the records above, which one has the lowest calculated volume?
A: SmY6Er2Sc3

Q: Which value of electronic total energy does entry 2 give?
A: -5.92 eV per atom

Q: Which of these has the highest electronic total energy?
A: Sm3YErSc